## i
# ScNbNO

An optimized crystal structure of ScNbNO (PBE-GGA, OQMD via LeMat-Bulk).

Structure (CIF):
```
data_ScNbNO
_cell_length_a 7.454
_cell_length_b 6.342
_cell_length_c 4.362
_cell_angle_alpha 90.00
_cell_angle_beta 90.00
_cell_angle_gamma 90.00
_space_group_name_H-M_alt 'P b c m'
_space_group_IT_number 57
loop_
_space_group_symop_operation_xyz
'x,y,z'
'-x,-y,-z'
'-x,-y,z+1/2'
'x,y,-z+1/2'
'x,-y+1/2,-z'
'-x,y+1/2,z'
'-x,y+1/2,-z+1/2'
'x,-y+1/2,z+1/2'
loop_
_atom_site_label
_atom_site_type_symbol
_atom_site_fract_x
_atom_site_fract_y
_atom_site_fract_z
Sc1 Sc 0.137 0.091 0.250
Nb1 Nb 0.403 0.581 0.250
N1 N 0.355 0.592 0.750
O1 O 0.107 0.076 0.750
```

=====

## ii
# ScNbNO

An optimized crystal structure of ScNbNO (PBE-GGA, OQMD via LeMat-Bulk).

Structure (CIF):
```
data_ScNbNO
_cell_length_a 3.506
_cell_length_b 3.506
_cell_length_c 7.553
_cell_angle_alpha 90.00
_cell_angle_beta 90.00
_cell_angle_gamma 90.00
_space_group_name_H-M_alt 'P 4/n m m'
_space_group_IT_number 129
loop_
_space_group_symop_operation_xyz
'x,y,z'
'-x,-y,-z'
'-y+1/2,x,z'
'y+1/2,-x,-z'
'-x+1/2,-y+1/2,z'
'x+1/2,y+1/2,-z'
'y,-x+1/2,z'
'-y,x+1/2,-z'
'x+1/2,-y,-z'
'-x+1/2,y,z'
'-y,-x,-z'
'y,x,z'
'-x,y+1/2,-z'
'x,-y+1/2,z'
'y+1/2,x+1/2,-z'
'-y+1/2,-x+1/2,z'
loop_
_atom_site_label
_atom_site_type_symbol
_atom_site_fract_x
_atom_site_fract_y
_atom_site_fract_z
Sc1 Sc 0.250 0.750 0.000
Nb1 Nb 0.250 0.250 0.339
N1 N 0.250 0.250 0.805
O1 O 0.250 0.750 0.500
```

=====

Best to worst by energy: i, ii.

=====

## i
# ScNbNO

An optimized crystal structure of ScNbNO (PBE-GGA, OQMD via LeMat-Bulk).

Structure (CIF):
```
data_ScNbNO
_cell_length_a 3.317
_cell_length_b 5.827
_cell_length_c 5.559
_cell_angle_alpha 90.00
_cell_angle_beta 90.00
_cell_angle_gamma 90.00
_space_group_name_H-M_alt 'P m c 21'
_space_group_IT_number 26
loop_
_space_group_symop_operation_xyz
'x,y,z'
'-x,-y,z+1/2'
'-x,y,z'
'x,-y,z+1/2'
loop_
_atom_site_label
_atom_site_type_symbol
_atom_site_fract_x
_atom_site_fract_y
_atom_site_fract_z
Sc1 Sc 0.000 0.167 0.000
Nb1 Nb 0.500 0.389 0.425
N1 N 0.000 0.187 0.392
O1 O 0.500 0.258 0.803
```

=====

## ii
# ScNbNO

An optimized crystal structure of ScNbNO (PBE-GGA, OQMD via LeMat-Bulk).

Structure (CIF):
```
data_ScNbNO
_cell_length_a 3.919
_cell_length_b 3.919
_cell_length_c 7.293
_cell_angle_alpha 90.00
_cell_angle_beta 90.00
_cell_angle_gamma 90.00
_space_group_name_H-M_alt 'P 4/n m m'
_space_group_IT_number 129
loop_
_space_group_symop_operation_xyz
'x,y,z'
'-x,-y,-z'
'-y+1/2,x,z'
'y+1/2,-x,-z'
'-x+1/2,-y+1/2,z'
'x+1/2,y+1/2,-z'
'y,-x+1/2,z'
'-y,x+1/2,-z'
'x+1/2,-y,-z'
'-x+1/2,y,z'
'-y,-x,-z'
'y,x,z'
'-x,y+1/2,-z'
'x,-y+1/2,z'
'y+1/2,x+1/2,-z'
'-y+1/2,-x+1/2,z'
loop_
_atom_site_label
_atom_site_type_symbol
_atom_site_fract_x
_atom_site_fract_y
_atom_site_fract_z
Sc1 Sc 0.250 0.250 0.112
Nb1 Nb 0.250 0.750 0.500
N1 N 0.250 0.250 0.609
O1 O 0.250 0.750 0.000
```

=====

## iii
# ScNbNO

An optimized crystal structure of ScNbNO (PBE-GGA, OQMD via LeMat-Bulk).

Structure (CIF):
```
data_ScNbNO
_cell_length_a 3.211
_cell_length_b 6.200
_cell_length_c 5.511
_cell_angle_alpha 90.00
_cell_angle_beta 90.00
_cell_angle_gamma 90.00
_space_group_name_H-M_alt 'P m c 21'
_space_group_IT_number 26
loop_
_space_group_symop_operation_xyz
'x,y,z'
'-x,-y,z+1/2'
'-x,y,z'
'x,-y,z+1/2'
loop_
_atom_site_label
_atom_site_type_symbol
_atom_site_fract_x
_atom_site_fract_y
_atom_site_fract_z
Sc1 Sc 0.000 0.171 0.000
Nb1 Nb 0.500 0.386 0.460
N1 N 0.500 0.312 0.825
O1 O 0.000 0.139 0.372
```

=====

Best to worst by energy: i, ii, iii.

=====

## i
# NbSiNO

An optimized crystal structure of NbSiNO (PBE-GGA, OQMD via LeMat-Bulk).

Structure (CIF):
```
data_NbSiNO
_cell_length_a 5.736
_cell_length_b 6.301
_cell_length_c 5.700
_cell_angle_alpha 90.00
_cell_angle_beta 90.00
_cell_angle_gamma 90.00
_space_group_name_H-M_alt 'P c a 21'
_space_group_IT_number 29
loop_
_space_group_symop_operation_xyz
'x,y,z'
'-x,-y,z+1/2'
'-x+1/2,y,z+1/2'
'x+1/2,-y,z'
loop_
_atom_site_label
_atom_site_type_symbol
_atom_site_fract_x
_atom_site_fract_y
_atom_site_fract_z
Nb1 Nb 0.086 0.149 0.000
Si1 Si 0.190 0.702 0.127
N1 N 0.059 0.129 0.643
O1 O 0.127 0.456 0.069
```

=====

## ii
# NbSiNO

An optimized crystal structure of NbSiNO (PBE-GGA, OQMD via LeMat-Bulk).

Structure (CIF):
```
data_NbSiNO
_cell_length_a 3.931
_cell_length_b 3.931
_cell_length_c 6.136
_cell_angle_alpha 90.00
_cell_angle_beta 90.00
_cell_angle_gamma 90.00
_space_group_name_H-M_alt 'P 4/n m m'
_space_group_IT_number 129
loop_
_space_group_symop_operation_xyz
'x,y,z'
'-x,-y,-z'
'-y+1/2,x,z'
'y+1/2,-x,-z'
'-x+1/2,-y+1/2,z'
'x+1/2,y+1/2,-z'
'y,-x+1/2,z'
'-y,x+1/2,-z'
'x+1/2,-y,-z'
'-x+1/2,y,z'
'-y,-x,-z'
'y,x,z'
'-x,y+1/2,-z'
'x,-y+1/2,z'
'y+1/2,x+1/2,-z'
'-y+1/2,-x+1/2,z'
loop_
_atom_site_label
_atom_site_type_symbol
_atom_site_fract_x
_atom_site_fract_y
_atom_site_fract_z
Nb1 Nb 0.250 0.750 0.000
Si1 Si 0.250 0.250 0.392
N1 N 0.250 0.250 0.875
O1 O 0.250 0.750 0.500
```

=====

## iii
# NbSiNO

An optimized crystal structure of NbSiNO (PBE-GGA, OQMD via LeMat-Bulk).

Structure (CIF):
```
data_NbSiNO
_cell_length_a 2.968
_cell_length_b 6.058
_cell_length_c 4.995
_cell_angle_alpha 90.00
_cell_angle_beta 90.00
_cell_angle_gamma 90.00
_space_group_name_H-M_alt 'P m c 21'
_space_group_IT_number 26
loop_
_space_group_symop_operation_xyz
'x,y,z'
'-x,-y,z+1/2'
'-x,y,z'
'x,-y,z+1/2'
loop_
_atom_site_label
_atom_site_type_symbol
_atom_site_fract_x
_atom_site_fract_y
_atom_site_fract_z
Nb1 Nb 0.000 0.093 0.000
Si1 Si 0.500 0.371 0.577
N1 N 0.500 0.370 0.922
O1 O 0.000 0.277 0.442
```

=====

Best to worst by energy: i, iii, ii.

=====

## i
# NbSiNO

An optimized crystal structure of NbSiNO (PBE-GGA, OQMD via LeMat-Bulk).

Structure (CIF):
```
data_NbSiNO
_cell_length_a 3.243
_cell_length_b 3.243
_cell_length_c 8.307
_cell_angle_alpha 90.00
_cell_angle_beta 90.00
_cell_angle_gamma 90.00
_space_group_name_H-M_alt 'P 4/n m m'
_space_group_IT_number 129
loop_
_space_group_symop_operation_xyz
'x,y,z'
'-x,-y,-z'
'-y+1/2,x,z'
'y+1/2,-x,-z'
'-x+1/2,-y+1/2,z'
'x+1/2,y+1/2,-z'
'y,-x+1/2,z'
'-y,x+1/2,-z'
'x+1/2,-y,-z'
'-x+1/2,y,z'
'-y,-x,-z'
'y,x,z'
'-x,y+1/2,-z'
'x,-y+1/2,z'
'y+1/2,x+1/2,-z'
'-y+1/2,-x+1/2,z'
loop_
_atom_site_label
_atom_site_type_symbol
_atom_site_fract_x
_atom_site_fract_y
_atom_site_fract_z
Nb1 Nb 0.250 0.250 0.166
Si1 Si 0.250 0.750 0.500
N1 N 0.250 0.250 0.746
O1 O 0.250 0.750 0.000
```

=====

## ii
# NbSiNO

An optimized crystal structure of NbSiNO (PBE-GGA, OQMD via LeMat-Bulk).

Structure (CIF):
```
data_NbSiNO
_cell_length_a 2.927
_cell_length_b 6.211
_cell_length_c 4.985
_cell_angle_alpha 90.00
_cell_angle_beta 90.00
_cell_angle_gamma 90.00
_space_group_name_H-M_alt 'P m c 21'
_space_group_IT_number 26
loop_
_space_group_symop_operation_xyz
'x,y,z'
'-x,-y,z+1/2'
'-x,y,z'
'x,-y,z+1/2'
loop_
_atom_site_label
_atom_site_type_symbol
_atom_site_fract_x
_atom_site_fract_y
_atom_site_fract_z
Nb1 Nb 0.000 0.083 0.000
Si1 Si 0.500 0.352 0.526
N1 N 0.000 0.264 0.392
O1 O 0.500 0.386 0.867
```

=====

Best to worst by energy: ii, i.